# 1
The following is a DFT calculation (PBE) of an optimized crystal structure of NdIn2Bi.

**Formation energy**: -0.4510 eV per atom
**Mass density**: 8.6 g/cm3
**Space-group type**: P4/mmm (123)
**N(E_F)**: 1.6 states/eV/f.u.

a = 4.859 Å, b = 4.859 Å, c = 4.787 Å
α = 90.00°, β = 90.00°, γ = 90.00°
Sites, in units of the cell vectors:
Nd1 0.000 0.000 0.000
In1 0.000 0.500 0.500
In2 0.500 0.000 0.500
Bi1 0.500 0.500 0.000



# 2
The following is a DFT calculation (PBE) of an optimized crystal structure of Nd6InBi.

**Formation energy**: -0.3619 eV per atom
**Mass density**: 7.9 g/cm3
**Space-group type**: P4/mmm (123)
**N(E_F)**: 8.3 states/eV/f.u.

a = 5.005 Å, b = 5.005 Å, c = 9.948 Å
α = 90.00°, β = 90.00°, γ = 90.00°
Sites, in units of the cell vectors:
Nd1 0.000 0.000 0.000
Nd2 0.000 0.000 0.500
Nd3 0.000 0.500 0.249
Nd4 0.000 0.500 0.751
Nd5 0.500 0.000 0.249
Nd6 0.500 0.000 0.751
In1 0.500 0.500 0.000
Bi1 0.500 0.500 0.500



# 3
The following is a DFT calculation (PBE) of an optimized crystal structure of Nd5In2Bi2.

**Formation energy**: -0.6652 eV per atom
**Mass density**: 7.8 g/cm3
**Space-group type**: Cmce (64)
**N(E_F)**: 7.1 states/eV/f.u.

a = 9.196 Å, b = 9.196 Å, c = 8.466 Å
α = 90.00°, β = 90.00°, γ = 54.98°
Sites, in units of the cell vectors:
Nd1 0.000 0.000 0.000
Nd2 0.037 0.690 0.669
Nd3 0.190 0.537 0.169
Nd4 0.310 0.963 0.669
Nd5 0.463 0.810 0.169
Nd6 0.500 0.500 0.500
Nd7 0.537 0.190 0.831
Nd8 0.690 0.037 0.331
Nd9 0.810 0.463 0.831
Nd10 0.963 0.310 0.331
In1 0.125 0.875 0.376
In2 0.375 0.625 0.876
In3 0.625 0.375 0.124
In4 0.875 0.125 0.624
Bi1 0.205 0.205 0.000
Bi2 0.295 0.295 0.500
Bi3 0.705 0.705 0.500
Bi4 0.795 0.795 0.000



# 4
The following is a DFT calculation (PBE) of an optimized crystal structure of Nd5In2Bi.

**Formation energy**: -0.4886 eV per atom
**Mass density**: 7.6 g/cm3
**Space-group type**: I4/mcm (140)
**N(E_F)**: 8.7 states/eV/f.u.

a = 9.084 Å, b = 9.084 Å, c = 9.084 Å
α = 122.36°, β = 122.36°, γ = 85.95°
Sites, in units of the cell vectors:
Nd1 0.000 0.000 0.000
Nd2 0.009 0.509 0.817
Nd3 0.192 0.009 0.500
Nd4 0.308 0.808 0.817
Nd5 0.491 0.308 0.500
Nd6 0.500 0.500 0.000
Nd7 0.509 0.692 0.500
Nd8 0.692 0.192 0.183
Nd9 0.808 0.991 0.500
Nd10 0.991 0.491 0.183
In1 0.140 0.360 0.500
In2 0.360 0.860 0.221
In3 0.640 0.140 0.779
In4 0.860 0.640 0.500
Bi1 0.250 0.250 0.000
Bi2 0.750 0.750 0.000



# 5
The following is a DFT calculation (PBE) of an optimized crystal structure of NdInBi2.

**Formation energy**: -0.2495 eV per atom
**E above lowest polymorph**: 0.201 eV per atom
**Mass density**: 7.9 g/cm3
**Space-group type**: R3m (160)
**N(E_F)**: 3.0 states/eV/f.u.

a = 6.979 Å, b = 6.979 Å, c = 6.979 Å
α = 42.67°, β = 42.67°, γ = 42.67°
Sites, in units of the cell vectors:
Nd1 0.000 0.000 0.000
In1 0.175 0.175 0.175
Bi1 0.413 0.413 0.413
Bi2 0.583 0.583 0.583



# 6
The following is a DFT calculation (PBE) of an optimized crystal structure of Nd4InBi.

**Formation energy**: -0.4292 eV per atom
**Mass density**: 7.7 g/cm3
**Space-group type**: C2/c (15)
**N(E_F)**: 6.9 states/eV/f.u.

a = 8.553 Å, b = 8.553 Å, c = 6.368 Å
α = 101.73°, β = 101.73°, γ = 115.94°
Sites, in units of the cell vectors:
Nd1 0.086 0.706 0.938
Nd2 0.217 0.392 0.652
Nd3 0.294 0.914 0.562
Nd4 0.392 0.217 0.152
Nd5 0.608 0.783 0.848
Nd6 0.706 0.086 0.438
Nd7 0.783 0.608 0.348
Nd8 0.914 0.294 0.062
In1 0.002 0.998 0.250
In2 0.998 0.002 0.750
Bi1 0.384 0.616 0.250
Bi2 0.616 0.384 0.750



# 7
The following is a DFT calculation (PBE) of an optimized crystal structure of Nd5InBi4.

**Formation energy**: -0.7801 eV per atom
**Mass density**: 8.1 g/cm3
**Space-group type**: I4/m (87)
**N(E_F)**: 5.7 states/eV/f.u.

a = 7.962 Å, b = 7.962 Å, c = 7.962 Å
α = 99.55°, β = 99.55°, γ = 131.92°
Sites, in units of the cell vectors:
Nd1 0.000 0.000 0.000
Nd2 0.196 0.603 0.799
Nd3 0.397 0.196 0.593
Nd4 0.603 0.804 0.407
Nd5 0.804 0.397 0.201
In1 0.500 0.500 0.000
Bi1 0.099 0.300 0.399
Bi2 0.300 0.901 0.200
Bi3 0.700 0.099 0.800
Bi4 0.901 0.700 0.601



# 8
The following is a DFT calculation (PBE) of an optimized crystal structure of Nd8In2Bi.

**Formation energy**: -0.2767 eV per atom
**Mass density**: 7.2 g/cm3
**Space-group type**: C2/m (12)
**N(E_F)**: 12.5 states/eV/f.u.

a = 10.310 Å, b = 10.310 Å, c = 7.206 Å
α = 102.85°, β = 102.85°, γ = 29.72°
Sites, in units of the cell vectors:
Nd1 0.022 0.022 0.257
Nd2 0.210 0.210 0.814
Nd3 0.340 0.340 0.519
Nd4 0.406 0.406 0.031
Nd5 0.594 0.594 0.969
Nd6 0.660 0.660 0.481
Nd7 0.790 0.790 0.186
Nd8 0.978 0.978 0.743
In1 0.184 0.184 0.246
In2 0.816 0.816 0.754
Bi1 0.500 0.500 0.500



# 9
The following is a DFT calculation (PBE) of an optimized crystal structure of Nd2InBi3.

**Formation energy**: -0.4649 eV per atom
**Mass density**: 8.2 g/cm3
**Space-group type**: Immm (71)
**N(E_F)**: 4.1 states/eV/f.u.

a = 8.180 Å, b = 8.180 Å, c = 8.180 Å
α = 147.50°, β = 134.03°, γ = 57.42°
Sites, in units of the cell vectors:
Nd1 0.165 0.165 0.000
Nd2 0.835 0.835 0.000
In1 0.500 0.500 0.000
Bi1 0.000 0.500 0.500
Bi2 0.328 0.828 0.500
Bi3 0.672 0.172 0.500



# 10
The following is a DFT calculation (PBE) of an optimized crystal structure of Nd6In3Bi.

**Formation energy**: -0.3475 eV per atom
**Mass density**: 7.4 g/cm3
**Space-group type**: Cmc2_1 (36)
**N(E_F)**: 8.3 states/eV/f.u.

a = 10.363 Å, b = 10.363 Å, c = 6.985 Å
α = 90.00°, β = 90.00°, γ = 121.62°
Sites, in units of the cell vectors:
Nd1 0.017 0.983 0.500
Nd2 0.086 0.541 0.969
Nd3 0.254 0.370 0.719
Nd4 0.292 0.708 0.494
Nd5 0.370 0.254 0.219
Nd6 0.459 0.914 0.969
Nd7 0.541 0.086 0.469
Nd8 0.630 0.746 0.719
Nd9 0.708 0.292 0.994
Nd10 0.746 0.630 0.219
Nd11 0.914 0.459 0.469
Nd12 0.983 0.017 0.000
In1 0.099 0.318 0.274
In2 0.318 0.099 0.774
In3 0.413 0.587 0.129
In4 0.587 0.413 0.629
In5 0.682 0.901 0.274
In6 0.901 0.682 0.774
Bi1 0.152 0.848 0.199
Bi2 0.848 0.152 0.699



# 11
The following is a DFT calculation (PBE) of an optimized crystal structure of NdInBi2.

**Formation energy**: -0.4460 eV per atom
**E above lowest polymorph**: 0.005 eV per atom
**Mass density**: 9.4 g/cm3
**Space-group type**: P4/mmm (123)
**N(E_F)**: 1.9 states/eV/f.u.

a = 5.122 Å, b = 5.122 Å, c = 4.549 Å
α = 90.00°, β = 90.00°, γ = 90.00°
Sites, in units of the cell vectors:
Nd1 0.000 0.000 0.000
In1 0.500 0.500 0.000
Bi1 0.000 0.500 0.500
Bi2 0.500 0.000 0.500



# 12
The following is a DFT calculation (PBE) of an optimized crystal structure of NdInBi2.

**Formation energy**: -0.4507 eV per atom
**E above lowest polymorph**: 0.000 eV per atom
**Mass density**: 9.1 g/cm3
**Space-group type**: P4/mmm (123)
**N(E_F)**: 3.0 states/eV/f.u.

a = 4.307 Å, b = 4.307 Å, c = 6.626 Å
α = 90.00°, β = 90.00°, γ = 90.00°
Sites, in units of the cell vectors:
Nd1 0.000 0.000 0.000
In1 0.000 0.000 0.500
Bi1 0.500 0.500 0.243
Bi2 0.500 0.500 0.757



# 13
The following is a DFT calculation (PBE) of an optimized crystal structure of NdIn2Bi.

**Formation energy**: 0.1158 eV per atom
**Mass density**: 7.6 g/cm3
**Space-group type**: R-3m (166)
**N(E_F)**: 3.6 states/eV/f.u.

a = 12.221 Å, b = 12.221 Å, c = 12.221 Å
α = 16.49°, β = 16.49°, γ = 16.49°
Sites, in units of the cell vectors:
Nd1 0.000 0.000 0.000
In1 0.090 0.090 0.090
In2 0.910 0.910 0.910
Bi1 0.500 0.500 0.500



# 14
The following is a DFT calculation (PBE) of an optimized crystal structure of NdInBi2.

**Formation energy**: -0.4126 eV per atom
**E above lowest polymorph**: 0.038 eV per atom
**Mass density**: 9.3 g/cm3
**Space-group type**: P2_1/m (11)
**N(E_F)**: 2.0 states/eV/f.u.

a = 6.086 Å, b = 5.932 Å, c = 6.674 Å
α = 90.00°, β = 90.05°, γ = 90.00°
Sites, in units of the cell vectors:
Nd1 0.153 0.250 0.250
Nd2 0.847 0.750 0.750
In1 0.161 0.250 0.750
In2 0.839 0.750 0.250
Bi1 0.334 0.750 0.006
Bi2 0.334 0.750 0.495
Bi3 0.666 0.250 0.505
Bi4 0.666 0.250 0.994



# 15
The following is a DFT calculation (PBE) of an optimized crystal structure of Nd4InBiO.

**ΔE_f (raw)**: -1.19 eV/atom
**Mass density**: 7.6 g/cm3
**Space-group type**: Cmcm (63)
**N(E_F)**: 7.4 states/eV/f.u.

a = 9.589 Å, b = 9.589 Å, c = 6.641 Å
α = 90.00°, β = 90.00°, γ = 139.05°
Sites, in units of the cell vectors:
Nd1 0.000 0.500 0.000
Nd2 0.000 0.500 0.500
Nd3 0.065 0.935 0.750
Nd4 0.419 0.581 0.750
Nd5 0.500 0.000 0.000
Nd6 0.500 0.000 0.500
Nd7 0.581 0.419 0.250
Nd8 0.935 0.065 0.250
In1 0.113 0.887 0.250
In2 0.887 0.113 0.750
Bi1 0.390 0.610 0.250
Bi2 0.610 0.390 0.750
O1 0.286 0.714 0.750
O2 0.714 0.286 0.250



# 16
The following is a DFT calculation (PBE) of an optimized crystal structure of Nd2InBiO6.

**ΔE_f (raw)**: -2.15 eV/atom
**Mass density**: 6.9 g/cm3
**Space-group type**: P4mm (99)
**N(E_F)**: 0.0 states/eV/f.u.

a = 5.495 Å, b = 5.495 Å, c = 5.650 Å
α = 90.00°, β = 90.00°, γ = 90.00°
Sites, in units of the cell vectors:
Nd1 0.000 0.500 0.000
Nd2 0.500 0.000 0.000
In1 0.000 0.000 0.582
Bi1 0.500 0.500 0.570
O1 0.000 0.000 0.215
O2 0.244 0.244 0.762
O3 0.244 0.756 0.762
O4 0.500 0.500 0.156
O5 0.756 0.244 0.762
O6 0.756 0.756 0.762



# 17
The following is a DFT calculation (PBE) of an optimized crystal structure of PmNdInBi.

**Formation energy**: -0.5027 eV per atom
**Mass density**: 8.4 g/cm3
**Space-group type**: F-43m (216)
**N(E_F)**: 4.6 states/eV/f.u.

a = 5.556 Å, b = 5.556 Å, c = 5.556 Å
α = 60.00°, β = 60.00°, γ = 60.00°
Sites, in units of the cell vectors:
Pm1 0.000 0.000 0.000
Nd1 0.500 0.500 0.500
In1 0.250 0.250 0.250
Bi1 0.750 0.750 0.750



# 18
The following is a DFT calculation (PBE) of an optimized crystal structure of Nd6InBi2Te3.

**ΔE_f (raw)**: -1.11 eV/atom
**Mass density**: 7.4 g/cm3
**Space-group type**: C2/m (12)
**N(E_F)**: 3.7 states/eV/f.u.

a = 10.166 Å, b = 10.166 Å, c = 9.159 Å
α = 102.72°, β = 102.72°, γ = 25.67°
Sites, in units of the cell vectors:
Nd1 0.001 0.001 0.254
Nd2 0.333 0.333 0.918
Nd3 0.337 0.337 0.418
Nd4 0.663 0.663 0.582
Nd5 0.667 0.667 0.082
Nd6 0.999 0.999 0.746
In1 0.500 0.500 0.500
Bi1 0.166 0.166 0.834
Bi2 0.834 0.834 0.166
Te1 0.169 0.169 0.334
Te2 0.500 0.500 0.000
Te3 0.831 0.831 0.666



# 19
The following is a DFT calculation (PBE) of an optimized crystal structure of Nd4InBiTe2.

**ΔE_f (raw)**: -1.06 eV/atom
**Mass density**: 7.2 g/cm3
**Space-group type**: P2/m (10)
**N(E_F)**: 2.6 states/eV/f.u.

a = 7.911 Å, b = 4.464 Å, c = 7.917 Å
α = 90.00°, β = 108.68°, γ = 90.00°
Sites, in units of the cell vectors:
Nd1 0.245 0.000 0.252
Nd2 0.248 0.500 0.748
Nd3 0.752 0.500 0.252
Nd4 0.755 0.000 0.748
In1 0.000 0.000 0.500
Bi1 0.000 0.500 0.000
Te1 0.500 0.000 0.000
Te2 0.500 0.500 0.500



# 20
The following is a DFT calculation (PBE) of an optimized crystal structure of InNi3Bi5.

**Formation energy**: 0.0181 eV per atom
**Mass density**: 10.2 g/cm3
**Space-group type**: P2/m (10)
**N(E_F)**: 4.1 states/eV/f.u.

a = 5.523 Å, b = 4.087 Å, c = 19.359 Å
α = 90.00°, β = 90.57°, γ = 90.00°
Sites, in units of the cell vectors:
In1 0.215 0.000 0.227
In2 0.785 0.000 0.773
Ni1 0.000 0.500 0.500
Ni2 0.003 0.500 0.842
Ni3 0.495 0.000 0.669
Ni4 0.500 0.000 0.000
Ni5 0.505 0.000 0.331
Ni6 0.997 0.500 0.158
Bi1 0.094 0.000 0.924
Bi2 0.221 0.500 0.377
Bi3 0.254 0.500 0.726
Bi4 0.274 0.000 0.548
Bi5 0.436 0.500 0.094
Bi6 0.564 0.500 0.906
Bi7 0.726 0.000 0.452
Bi8 0.746 0.500 0.274
Bi9 0.779 0.500 0.623
Bi10 0.906 0.000 0.076